[1]
SrNdEr4S8 (PBE, relaxed); theoretical density = 5.00 Mg/m³; formation energy (no corrections) = -1977.2 meV per atom
1.0
8.113 0.000 0.000
4.056 7.026 0.000
4.056 2.342 6.738
Sr S Er Nd
1 8 4 1
direct
0.373 0.373 0.880
0.791 0.243 0.724
0.231 0.751 0.267
0.758 0.758 0.727
0.751 0.231 0.267
0.243 0.791 0.724
0.243 0.243 0.724
0.235 0.235 0.295
0.751 0.751 0.267
0.002 0.495 0.502
0.495 0.002 0.502
0.625 0.625 0.124
0.002 0.002 0.502
0.002 0.002 0.995

=====

[2]
K4HgSb3 (PBE, relaxed); theoretical density = 3.71 Mg/m³; formation energy (no corrections) = -364.4 meV per atom
1.0
-2.792 -3.651 2.931
4.042 -2.315 0.966
1.565 6.987 10.195
Sb Hg K
3 1 4
direct
0.000 0.500 0.568
0.000 0.000 0.429
0.500 0.000 0.937
0.500 0.500 0.066
0.500 0.000 0.640
0.000 0.500 0.859
0.000 0.000 0.137
0.500 0.500 0.364

=====

[3]
RuRh2Au (PBE, relaxed); ΔE_f = 0.08 eV/atom; theoretical density = 13.89 Mg/m³
1.0
2.761 0.000 0.000
0.000 2.761 0.000
0.000 0.000 7.901
Rh Ru Au
2 1 1
direct
0.000 0.000 0.480
0.000 0.000 0.020
0.500 0.500 0.250
0.500 0.500 0.750

=====

[4]
Li2Ac3ReO9 (PBE, relaxed); theoretical density = 8.69 Mg/m³; formation energy (no corrections) = -2563.0 meV per atom
1.0
-0.538 -5.187 2.272
5.118 2.466 -0.278
-1.038 2.864 6.292
O Ac Li Re
9 3 2 1
direct
0.156 0.844 0.340
0.844 0.689 0.660
0.156 0.311 0.340
0.311 0.156 0.660
0.689 0.844 0.340
0.844 0.156 0.660
0.500 0.000 0.000
0.500 0.500 0.000
0.000 0.500 0.000
0.333 0.667 0.739
0.000 0.000 0.000
0.667 0.333 0.261
0.333 0.667 0.172
0.667 0.333 0.828
0.000 0.000 0.500

=====

[5]
Tl2CdInS4 (PBE, relaxed); theoretical density = 6.03 Mg/m³; formation energy (no corrections) = -391.9 meV per atom
1.0
-4.161 -5.626 0.349
3.073 -4.554 -4.207
2.926 3.530 5.365
Tl S In Cd
2 4 1 1
direct
0.541 0.042 0.083
0.293 0.293 0.587
0.034 0.068 0.648
0.614 0.581 0.649
0.306 0.788 0.158
0.854 0.370 0.159
0.991 0.492 0.983
0.753 0.754 0.507

=====

[6]
BeTlIr2 (PBE, relaxed); ΔE_f = 0.34 eV/atom; theoretical density = 16.34 Mg/m³
1.0
0.000 3.120 3.120
3.120 0.000 3.120
3.120 3.120 0.000
Ir Tl Be
2 1 1
direct
0.750 0.750 0.750
0.250 0.250 0.250
0.500 0.500 0.500
0.000 0.000 0.000

=====

[7]
NdSmDy2Tm (PBE, relaxed); ΔE_f = 0.39 eV/atom; theoretical density = 7.54 Mg/m³
1.0
7.177 0.000 0.000
0.000 8.415 0.000
0.000 -4.207 5.755
Dy Nd Sm Tm
4 2 2 2
direct
0.500 0.688 0.000
0.000 0.312 0.000
0.500 0.312 0.000
0.000 0.688 0.000
0.750 0.271 0.542
0.250 0.729 0.458
0.250 0.998 0.997
0.750 0.002 0.003
0.750 0.722 0.443
0.250 0.278 0.557

=====

[8]
Nd2In6Ni (PBE, relaxed); ΔE_f = -0.26 eV/atom; theoretical density = 7.31 Mg/m³
1.0
-0.354 -3.432 -3.236
-2.677 -1.815 2.219
-9.044 8.174 -4.223
Nd In Ni
2 6 1
direct
0.996 0.000 0.993
0.326 0.000 0.653
0.452 0.500 0.904
0.108 0.500 0.216
0.222 0.500 0.444
0.588 0.000 0.176
0.883 0.500 0.767
0.711 0.000 0.421
0.782 0.500 0.564

=====

[9]
Cd3In3Ag (PBE, relaxed); ΔE_f = 0.03 eV/atom; theoretical density = 7.72 Mg/m³
1.0
10.086 -0.443 0.000
-2.148 5.516 0.000
0.000 0.000 12.417
Ag Cd In
4 12 12
direct
0.330 0.406 0.519
0.670 0.594 0.481
0.170 0.094 0.019
0.830 0.906 0.981
0.453 0.628 0.314
0.528 0.696 0.914
0.472 0.304 0.086
0.039 0.389 0.902
0.461 0.111 0.402
0.972 0.804 0.414
0.961 0.611 0.098
0.953 0.128 0.186
0.028 0.196 0.586
0.047 0.872 0.814
0.547 0.372 0.686
0.539 0.889 0.598
0.721 0.535 0.249
0.221 0.035 0.251
0.778 0.135 0.405
0.869 0.518 0.641
0.222 0.865 0.595
0.131 0.482 0.359
0.779 0.965 0.749
0.631 0.982 0.141
0.369 0.018 0.859
0.278 0.635 0.095
0.722 0.365 0.905
0.279 0.465 0.751

=====

[10]
Cs2MgTaW (PBE, relaxed); ΔE_f = 1.72 eV/atom; theoretical density = 4.77 Mg/m³
1.0
6.885 0.000 0.000
0.000 4.813 0.000
0.000 0.000 6.885
Cs Mg Ta W
2 1 1 1
direct
0.500 0.000 0.000
0.000 0.000 0.500
0.500 0.500 0.500
0.000 0.500 0.000
0.000 0.000 0.000

=====

[11]
Tb3Pr3Sm5 (PBE, relaxed); ΔE_f = 0.76 eV/atom; theoretical density = 6.06 Mg/m³
1.0
5.481 0.000 0.000
0.000 9.761 0.000
0.000 -4.880 8.453
Pr Sm Tb
3 5 3
direct
0.500 0.639 0.639
0.500 0.361 0.000
0.500 0.000 0.361
0.500 0.333 0.667
0.500 0.000 0.733
0.500 0.667 0.333
0.500 0.267 0.267
0.500 0.733 0.000
0.000 0.470 0.470
0.000 0.530 0.000
0.000 0.000 0.530

=====

[12]
Nd8Ru3CI3 (PBE, relaxed); theoretical density = 6.44 Mg/m³; formation energy (no corrections) = -494.0 meV per atom
1.0
8.186 -0.001 -0.001
-4.094 7.093 -0.030
-0.001 -4.696 8.230
Nd Ru I C
8 3 3 1
direct
0.786 0.572 0.330
0.731 0.462 0.693
0.742 0.956 0.670
0.269 0.538 0.307
0.786 0.044 0.330
0.258 0.044 0.330
0.214 0.428 0.670
0.214 0.956 0.670
0.000 0.500 0.500
0.500 0.000 0.500
0.500 0.500 0.500
0.000 0.000 0.000
0.000 0.500 0.000
0.500 0.500 0.000
0.000 0.000 0.500

=====

Energy per entry: -6.100, -2.497, -6.738, -7.445, -3.504, -5.609, -4.239, -3.786, -1.939, -3.900, -3.951, -5.817 eV per atom
Total moment per entry: 0.0, 0.0, 0.0, 0.0, 0.0, 0.0, 0.0, 0.0, 0.0, 0.3, 0.0, 0.0 μB/cell